{
  "formula": "Ni6SnSe2",
  "functional": "PBE",
  "state": "relaxed",
  "lattice_angstrom": [[-1.853, 1.853, 9.362], [1.853, -1.853, 9.362], [1.853, 1.853, -9.362]],
  "species": ["Ni", "Ni", "Ni", "Ni", "Ni", "Ni", "Sn", "Se", "Se"],
  "frac_coords": [[0.000, 0.000, 0.000], [0.198, 0.698, 0.500], [0.299, 0.299, 0.000], [0.401, 0.901, 0.500], [0.698, 0.198, 0.500], [0.901, 0.401, 0.500], [0.800, 0.800, 0.000], [0.122, 0.122, 0.000], [0.484, 0.484, 0.000]],
  "total_magnetization_mub_per_cell": 0.00,
  "e_form_raw_ev_per_atom": -0.215,
  "mass_density_kg_m3": 8118
}